MgAsAu4: relaxed, PBE-GGA.

a b c (Å): 5.529 5.529 5.529
angles (deg): 60.00 60.00 60.00
Element x y z (fractional)
1 As 0.000 0.000 0.000
2 Au 0.375 0.874 0.375
3 Au 0.375 0.375 0.874
4 Mg 0.750 0.750 0.750
5 Au 0.874 0.375 0.375
6 Au 0.375 0.375 0.375

Values from the calculation:
DOS at the Fermi energy in states/eV per cell: 4.07
Energy of formation from the pure elements in eV/atom: -0.02
Crystal system: cubic
Magnetic moment in μB per cell: 0.00